Compound: CdSe2N2
Source: the Alexandria database
Functional: GGA-PBE
Structure: relaxed

a = 3.794 Å, b = 3.794 Å, c = 6.952 Å
α = 90.00°, β = 90.00°, γ = 90.00°
Element x y z (fractional)
1 N 0.000 0.500 0.000
2 N 0.500 0.000 0.000
3 Se 0.000 0.000 0.000
4 Se 0.000 0.000 0.500
5 Cd 0.500 0.500 0.500

Properties
**ΔE to the lowest computed polymorph**: 155 meV/atom
**Raw formation energy**: 1.298 eV/atom
**Space-group type**: P4/mmm, No. 123


Compound: Cd3Re4
Source: the Alexandria database
Functional: GGA-PBE
Structure: relaxed

a = 13.986 Å, b = 13.986 Å, c = 13.986 Å
α = 167.70°, β = 167.70°, γ = 17.42°
Element x y z (fractional)
1 Cd 0.000 0.000 0.000
2 Cd 0.707 0.707 0.000
3 Cd 0.293 0.293 0.000
4 Re 0.870 0.870 0.000
5 Re 0.578 0.578 0.000
6 Re 0.422 0.422 0.000
7 Re 0.130 0.130 0.000

Properties
**E_form**: 2.01 eV per formula unit
**Space-group type**: I4/mmm, No. 139


Compound: NdMgB5O10
Source: the Alexandria database
Functional: GGA-PBE
Structure: relaxed

a = 7.669 Å, b = 8.794 Å, c = 9.498 Å
α = 87.44°, β = 90.00°, γ = 90.00°
Element x y z (fractional)
1 Nd 0.811 0.185 0.764
2 Nd 0.189 0.815 0.236
3 Nd 0.311 0.315 0.736
4 Nd 0.689 0.685 0.264
5 Mg 0.089 0.893 0.624
6 Mg 0.911 0.107 0.376
7 Mg 0.589 0.607 0.876
8 Mg 0.411 0.393 0.124
9 B 0.172 0.014 0.891
10 B 0.828 0.986 0.109
11 B 0.672 0.486 0.609
12 B 0.328 0.514 0.391
13 B 0.419 0.913 0.735
14 B 0.581 0.087 0.265
15 B 0.919 0.587 0.765
16 B 0.081 0.413 0.235
17 B 0.187 0.570 0.914
18 B 0.813 0.430 0.086
19 B 0.687 0.930 0.586
20 B 0.313 0.070 0.414
21 B 0.532 0.281 0.447
22 B 0.468 0.719 0.553
23 B 0.032 0.219 0.053
24 B 0.968 0.781 0.947
25 B 0.404 0.848 0.996
26 B 0.596 0.152 0.004
27 B 0.904 0.652 0.504
28 B 0.096 0.348 0.496
29 O 0.083 0.511 0.811
30 O 0.917 0.489 0.189
31 O 0.583 0.989 0.689
32 O 0.417 0.011 0.311
33 O 0.127 0.688 0.991
34 O 0.873 0.312 0.009
35 O 0.627 0.812 0.509
36 O 0.373 0.188 0.491
37 O 0.604 0.330 0.585
38 O 0.396 0.670 0.415
39 O 0.104 0.170 0.915
40 O 0.896 0.830 0.085
41 O 0.282 0.028 0.762
42 O 0.718 0.972 0.238
43 O 0.782 0.472 0.738
44 O 0.218 0.528 0.262
45 O 0.348 0.503 0.929
46 O 0.652 0.497 0.071
47 O 0.848 0.997 0.571
48 O 0.152 0.003 0.429
49 O 0.224 0.458 0.513
50 O 0.776 0.542 0.487
51 O 0.724 0.042 0.987
52 O 0.276 0.958 0.013
53 O 0.347 0.815 0.628
54 O 0.653 0.185 0.372
55 O 0.847 0.685 0.872
56 O 0.153 0.315 0.128
57 O 0.464 0.817 0.864
58 O 0.536 0.183 0.136
59 O 0.964 0.683 0.636
60 O 0.036 0.317 0.364
61 O 0.041 0.268 0.613
62 O 0.959 0.732 0.387
63 O 0.541 0.232 0.887
64 O 0.459 0.768 0.113
65 O 0.026 0.912 0.853
66 O 0.974 0.088 0.147
67 O 0.526 0.588 0.647
68 O 0.474 0.412 0.353

Properties
**Raw formation energy**: -2.688 eV/atom
**Space-group type**: P2_1/c, No. 14


Compound: CaPuP2
Source: the Alexandria database
Functional: GGA-PBE
Structure: relaxed

a = 4.070 Å, b = 4.070 Å, c = 6.974 Å
α = 73.03°, β = 73.03°, γ = 60.00°
Element x y z (fractional)
1 P 0.759 0.759 0.723
2 P 0.241 0.241 0.277
3 Ca 0.000 0.000 0.000
4 Pu 0.500 0.500 0.500

Properties
**E_form**: -4.36 eV per formula unit
**ΔE to the lowest computed polymorph**: 0 meV/atom
**Space-group type**: R-3m, No. 166


Compound: HIr3S
Source: the Alexandria database
Functional: GGA-PBE
Structure: relaxed

a = 4.370 Å, b = 4.370 Å, c = 4.370 Å
α = 90.00°, β = 90.00°, γ = 90.00°
Element x y z (fractional)
1 H 0.500 0.500 0.500
2 S 0.000 0.000 0.000
3 Ir 0.000 0.500 0.000
4 Ir 0.000 0.000 0.500
5 Ir 0.500 0.000 0.000

Properties
**Space-group type**: Pm-3m, No. 221


Computed values of energy (unit: eV/cell) for the preceding records, in sequence: -18.047 -50.528 -540.121 -31.518 -26.642.